The following is a GGA-PBE calculation of a relaxed structure of PrAs2, from the Alexandria database.

a = 5.8472 Å, b = 5.8191 Å, c = 4.8793 Å
α = 90.00°, β = 114.66°, γ = 90.00°
Space group C2/m (No. 12)
Symmetry-distinct sites (fractional):
Pr: 0.0000 0.0000 0.0000 (multiplicity 2)
As: 0.0855 0.5000 0.2870 (multiplicity 4)

**Formation energy from the elements**: -803 meV per atom
**DOS(E_F)**: 1.72 states/eV per cell
**Total moment**: 0.000 Bohr magnetons per cell
**Total DFT energy (no corrections)**: -0.404 Ry/atom